DyGa4Au12: optimized geometry, GGA-PBE.

The structure belongs to space group Im-3 (No. 204); the cell edges are 8.975, 8.975 and 8.975 Å and the angles 90.00°, 90.00° and 90.00°. The inequivalent atoms are Dy at (0.000, 0.000, 0.000), Ga at (0.250, 0.250, 0.250) and Au at (0.000, 0.342, 0.154).

Its formation enthalpy at 0 K is -1.1 eV per formula unit. For the calculated volume, the calculation gives 21.3 A^3/atom. Its density of states at the Fermi level is 11.2 states/eV/cell.



La2TcP4Ir3: optimized geometry, GGA-PBE.

The structure belongs to space group P-4m2 (No. 115); the cell edges are 4.260, 4.260 and 9.526 Å and the angles 90.00°, 90.00° and 90.00°. The inequivalent atoms are La at (0.000, 0.500, 0.237), Tc at (0.000, 0.000, 0.500), P at (0.000, 0.000, 0.000), P at (0.000, 0.500, 0.627), P at (0.500, 0.500, 0.000), Ir at (0.000, 0.500, 0.888) and Ir at (0.500, 0.500, 0.500).

Its formation enthalpy at 0 K is -10.4 eV per formula unit. For the calculated volume, the calculation gives 17.3 A^3/atom. Its density of states at the Fermi level is 2.9 states/eV/cell.



K2SrFe: optimized geometry, GGA-PBE.

The structure belongs to space group Fm-3m (No. 225); the cell edges are 8.650, 8.650 and 8.650 Å and the angles 90.00°, 90.00° and 90.00°. The inequivalent atoms are K at (0.250, 0.250, 0.250), Sr at (0.000, 0.000, 0.000) and Fe at (0.000, 0.000, 0.500).

Its formation enthalpy at 0 K is 5.0 eV per formula unit. For the calculated volume, the calculation gives 40.4 A^3/atom. Its density of states at the Fermi level is 87.8 states/eV/cell. The polymorph energy (0 for the lowest one) is 667 meV/atom.



AcLaPr2: optimized geometry, GGA-PBE.

The structure belongs to space group P4/mmm (No. 123); the cell edges are 3.815, 3.815 and 10.583 Å and the angles 90.00°, 90.00° and 90.00°. The inequivalent atoms are Ac at (0.000, 0.000, 0.000), La at (0.000, 0.000, 0.500) and Pr at (0.500, 0.500, 0.259).

Its formation enthalpy at 0 K is 0.1 eV per formula unit. For the calculated volume, the calculation gives 38.5 A^3/atom. Its density of states at the Fermi level is 7.2 states/eV/cell. The polymorph energy (0 for the lowest one) is 7 meV/atom.



Sc2MoAuC: optimized geometry, GGA-PBE.

The structure belongs to space group P4/mmm (No. 123); the cell edges are 4.497, 4.497 and 4.125 Å and the angles 90.00°, 90.00° and 90.00°. The inequivalent atoms are Sc at (0.000, 0.500, 0.000), Mo at (0.000, 0.000, 0.500), Au at (0.500, 0.500, 0.500) and C at (0.000, 0.000, 0.000).

Its formation enthalpy at 0 K is -2.0 eV per formula unit. For the calculated volume, the calculation gives 16.7 A^3/atom. Its density of states at the Fermi level is 4.9 states/eV/cell.



Tb5Ag3: optimized geometry, GGA-PBE.

The structure belongs to space group P4/mmm (No. 123); the cell edges are 3.609, 3.609 and 16.271 Å and the angles 90.00°, 90.00° and 90.00°. The inequivalent atoms are Tb at (0.000, 0.000, 0.000), Tb at (0.000, 0.000, 0.228), Tb at (0.500, 0.500, 0.384), Ag at (0.000, 0.000, 0.500) and Ag at (0.500, 0.500, 0.113).

Its formation enthalpy at 0 K is -1.7 eV per formula unit. For the calculated volume, the calculation gives 26.5 A^3/atom. Its density of states at the Fermi level is 8.1 states/eV/cell.



SrCdOs2: optimized geometry, GGA-PBE.

The structure belongs to space group R-3m (No. 166, hexagonal axes); the cell edges are 2.9167, 2.9167 and 30.0887 Å and the angles 90.00°, 90.00° and 120.00°. The inequivalent atoms are Sr at (0.0000, 0.0000, 0.0000), Cd at (0.0000, 0.0000, 0.5000) and Os at (0.0000, 0.0000, 0.2443).

Its formation enthalpy at 0 K is 4.2 eV per formula unit. For the calculated volume, the calculation gives 18.5 A^3/atom. Its density of states at the Fermi level is 10.3 states/eV/cell.



MnMoRu3: optimized geometry, GGA-PBE.

The structure belongs to space group Pm-3m (No. 221); the cell edges are 4.601, 4.601 and 4.601 Å and the angles 90.00°, 90.00° and 90.00°. The inequivalent atoms are Mn at (0.000, 0.000, 0.000), Mo at (0.500, 0.500, 0.500) and Ru at (0.000, 0.500, 0.500).

Its formation enthalpy at 0 K is 10.0 eV per formula unit. For the calculated volume, the calculation gives 19.5 A^3/atom. Its density of states at the Fermi level is 5.8 states/eV/cell. The polymorph energy (0 for the lowest one) is 616 meV/atom.



RbPtI5: optimized geometry, GGA-PBE.

The structure belongs to space group C2/c (No. 15); the cell edges are 14.759, 8.672 and 10.662 Å and the angles 90.00°, 112.17° and 90.00°. The inequivalent atoms are Rb at (0.000, 0.022, 0.250), Pt at (0.000, 0.500, 0.000), I at (0.000, 0.407, 0.750), I at (0.135, 0.275, 0.099) and I at (0.144, 0.290, 0.546).

For the calculated volume, the calculation gives 45.1 A^3/atom. For the uncorrected formation energy, the calculation gives -0.4655 eV/atom. Its density of states at the Fermi level is 29.7 states/eV/cell.